Below is a relaxed RbFeTe2O6 crystal, with properties calculated at the PBE+U level.

The structure in CIF format:
```
data_RbFeTe2O6
_cell_length_a 9.733
_cell_length_b 12.572
_cell_length_c 7.904
_cell_angle_alpha 90.00
_cell_angle_beta 119.79
_cell_angle_gamma 90.00
_space_group_name_H-M_alt 'C 1 2/c 1'
_space_group_IT_number 15
_space_group_name_Hall '-C 2yc'
loop_
_atom_site_label
_atom_site_type_symbol
_atom_site_fract_x
_atom_site_fract_y
_atom_site_fract_z
_atom_site_occupancy
Rb1 Rb 0.000 0.093 0.250 1
Fe1 Fe 0.000 0.212 0.750 1
Te1 Te 0.141 0.408 0.157 1
O1 O 0.098 0.294 0.976 1
O2 O 0.130 0.117 0.701 1
O3 O 0.152 0.472 0.523 1
```

Values from the calculation:
As for the total energy: -0.4065 Ry/atom.